#a
Entry from Alexandria via LeMat-Bulk: crystalline SrCa2Sc at its relaxed geometry (GGA-PBE).

## Properties
Fermi-level density of states: 6.5 states/eV/cell
mass density: 2.32 g/cm³

Cell lengths 7.0695, 7.0695, 3.6509 Å; angles 100.00, 100.00, 117.66 degrees
Last column: nearest neighbours and their distance in Å.
Fractional coordinates of all 4 atoms:
Sr1 0.0000 0.0000 0.0000  2 Sr 3.65, 2 Sc 3.66, 4 Ca 3.69
Ca1 0.0000 0.5000 0.5000  4 Ca 3.65-3.66, 2 Sc 3.69, 2 Sr 3.69
Ca2 0.5000 0.0000 0.5000  4 Ca 3.65-3.66, 2 Sc 3.69, 2 Sr 3.69
Sc1 0.5000 0.5000 0.0000  2 Sc 3.65, 2 Sr 3.66, 4 Ca 3.69


#b
Entry from Alexandria via LeMat-Bulk: crystalline SrCa2Sc at its relaxed geometry (GGA-PBE).

## Properties
Fermi-level density of states: 6.8 states/eV/cell
mass density: 2.27 g/cm³

Cell lengths 12.6403, 12.6403, 12.6403 Å; angles 17.28, 17.28, 17.28 degrees
Last column: nearest neighbours and their distance in Å.
Fractional coordinates of all 4 atoms:
Sr1 0.0000 0.0000 0.0000  6 Sr 3.80, 6 Ca 4.08
Ca1 0.2412 0.2412 0.2412  3 Sc 3.54, 6 Ca 3.80
Ca2 0.7588 0.7588 0.7588  3 Sc 3.54, 6 Ca 3.80
Sc1 0.5000 0.5000 0.5000  6 Ca 3.54, 6 Sc 3.80


Stability summary - winner: #b; margin: 44 meV per atom.